The following is a PBE-GGA calculation of LiTa2Au after structural relaxation, from the Alexandria database.

Cell: 2.871 4.255 5.528 Å, 90.00 90.00 90.00°
Positions (direct):
Li (0.000, 0.000, 0.000)
Ta (0.500, 0.500, 0.246)
Ta (0.500, 0.500, 0.754)
Au (0.000, 0.000, 0.500)

Summary:
Space-group type   Pmmm, No. 47
Calculated volume   16.9 A^3/atom
ΔE_f   0.2301 eV per atom
Relative energy among the computed polymorphs   0.230 eV per atom

=====

The following is a PBE-GGA calculation of LiTa2Au after structural relaxation, from the Alexandria database.

Cell: 3.954 3.954 4.268 Å, 90.00 90.00 90.00°
Positions (direct):
Li (0.000, 0.000, 0.000)
Ta (0.000, 0.500, 0.500)
Ta (0.500, 0.000, 0.500)
Au (0.500, 0.500, 0.000)

Summary:
Space-group type   P4/mmm, No. 123
Calculated volume   16.7 A^3/atom
ΔE_f   0.1183 eV per atom
Relative energy among the computed polymorphs   0.119 eV per atom

=====

The following is a PBE-GGA calculation of LiTaAu after structural relaxation, from the Alexandria database.

Cell: 2.882 2.882 7.312 Å, 90.00 90.00 120.00°
Positions (direct):
Li (0.000, 0.000, 0.000)
Ta (0.667, 0.333, 0.359)
Au (0.333, 0.667, 0.690)

Summary:
Space-group type   P3m1, No. 156
Calculated volume   17.5 A^3/atom
ΔE_f   0.0874 eV per atom
Relative energy among the computed polymorphs   0.158 eV per atom